Record 1
This record from Alexandria via LeMat-Bulk describes an optimized crystal structure of NiPb2Cl. The functional is GGA-PBE.

Structure (POSCAR):
```
NiPb2Cl
1.0
0.000 3.635 3.635
3.635 0.000 3.635
3.635 3.635 0.000
Ni Pb Cl
1 2 1
Direct
0.000 0.000 0.000
0.500 0.500 0.500
0.750 0.750 0.750
0.250 0.250 0.250
```

## Properties
Formation energy without anion corrections, eV per atom: 0.35
Distance to the lowest polymorph of the same formula, kJ/mol of formula units: 201
Crystal system: cubic
Fermi-level density of states, states/eV/atom: 1.118
Space group: F-43m, No. 216


Record 2
This record from Alexandria via LeMat-Bulk describes an optimized crystal structure of NiPb2Cl. The functional is GGA-PBE.

Structure (POSCAR):
```
NiPb2Cl
1.0
3.670 0.000 0.000
0.000 4.359 0.000
0.000 0.000 6.363
Ni Pb Cl
1 2 1
Direct
0.000 0.000 0.000
0.000 0.500 0.500
0.500 0.500 0.000
0.500 0.000 0.500
```

## Properties
Formation energy without anion corrections, eV per atom: 0.16
Distance to the lowest polymorph of the same formula, kJ/mol of formula units: 130
Crystal system: orthorhombic
Fermi-level density of states, states/eV/atom: 0.852
Space group: Pmmm, No. 47